[1]
# ZrSc2Al SCAN single point on PBEsol structure
data_ZrSc2Al
_chemical_formula_sum 'Zr1 Sc2 Al1'
_cell_length_a 5.492
_cell_length_b 5.492
_cell_length_c 2.999
_cell_angle_alpha 90.00
_cell_angle_beta 90.00
_cell_angle_gamma 112.95
_symmetry_space_group_name_H-M 'P 1'
_symmetry_Int_Tables_number 1
loop_
_symmetry_equiv_pos_as_xyz
'x,y,z'
loop_
_atom_site_label
_atom_site_type_symbol
_atom_site_fract_x
_atom_site_fract_y
_atom_site_fract_z
Zr1 Zr 0.000 0.000 0.000
Sc1 Sc 0.000 0.500 0.500
Sc2 Sc 0.500 0.000 0.500
Al1 Al 0.500 0.500 0.000
# Formation energy   -0.09 eV/atom
# SG   No. 65
# Total magnetic moment   0.00 μB/f.u.
# DFT total energy   -16.82 eV per atom

***

[2]
# BeAg2Hg SCAN single point on PBEsol structure
data_BeAg2Hg
_chemical_formula_sum 'Be1 Ag2 Hg1'
_cell_length_a 5.257
_cell_length_b 5.257
_cell_length_c 4.553
_cell_angle_alpha 115.15
_cell_angle_beta 115.15
_cell_angle_gamma 33.69
_symmetry_space_group_name_H-M 'P 1'
_symmetry_Int_Tables_number 1
loop_
_symmetry_equiv_pos_as_xyz
'x,y,z'
loop_
_atom_site_label
_atom_site_type_symbol
_atom_site_fract_x
_atom_site_fract_y
_atom_site_fract_z
Be1 Be 0.000 0.000 0.000
Ag1 Ag 0.293 0.293 0.799
Ag2 Ag 0.503 0.503 0.508
Hg1 Hg 0.716 0.716 0.223
# Formation energy   0.16 eV/atom
# SG   No. 8
# Total magnetic moment   0.00 μB/f.u.
# DFT total energy   -33.65 eV per atom

***

- The lowest DFT total energy belongs to which entry?
  BeAg2Hg

***

- What is the formation energy in the first record?
  -0.09 eV/atom

***

- Which formula does entry 2 have?
  BeAg2Hg